No. 1
La5Rh | GGA-PBEsol | optimized geometry

Summary:
Energy of formation (meV per atom): -189
Final energy (eV/atom): -6.00
DOS at the Fermi energy (states/eV per cell): 7.38
E above lowest polymorph (kJ/mol of formula units): 8.8

Unit cell a=3.6176 b=3.6176 c=13.4624 alpha=90.00 beta=90.00 gamma=90.00
With the nearest neighbours (Å) after each atom.
Fractional coordinates of all 6 atoms:
Rh: 0.5000 0.5000 0.0000  8 La 3.04
La: 0.0000 0.0000 0.5000  12 La 3.57-3.62
La: 0.0000 0.0000 0.8777  4 Rh 3.04, 1 La 3.29
La: 0.0000 0.0000 0.1223  4 Rh 3.04, 1 La 3.29
La: 0.5000 0.5000 0.3149  12 La 3.57-3.64
La: 0.5000 0.5000 0.6851  12 La 3.57-3.64

No. 2
YMg4Co | GGA-PBEsol | optimized geometry

Summary:
Energy of formation (meV per atom): 298
Final energy (eV/atom): -3.27
DOS at the Fermi energy (states/eV per cell): 0.03

Unit cell a=5.5829 b=5.5829 c=5.5829 alpha=60.00 beta=60.00 gamma=60.00
With the nearest neighbours (Å) after each atom.
Fractional coordinates of all 6 atoms:
Y: 0.7500 0.7500 0.7500  12 Mg 3.28, 4 Co 3.42
Mg: 0.8778 0.3741 0.3741  6 Mg 2.77-2.81
Mg: 0.3741 0.3741 0.8778  6 Mg 2.77-2.81
Mg: 0.3741 0.3741 0.3741  6 Mg 2.77-2.81
Mg: 0.3741 0.8778 0.3741  6 Mg 2.77-2.81
Co: 0.0000 0.0000 0.0000  12 Mg 3.27, 4 Y 3.42